Entry 1:
Density functional theory data (PBE) for crystalline Ta5Te3 at its relaxed geometry.

a b c (Å): 8.4724 7.5088 7.6462
angles (deg): 95.36 100.58 132.51
Element x y z (fractional)
Te  0.0770  0.5851  0.8520
Ta  0.3366  0.0194  0.1785
Ta  0.4666  0.0817  0.8219
Ta  0.8421  0.6840  0.3337
Te  0.2325  0.2856  0.0446
Ta  0.7600  0.0350  0.8518
Te  0.6425  0.8088  0.4890
Ta  0.3250  0.5302  0.7132
Ta  0.7049  0.2484  0.4931
Ta  0.2246  0.7201  0.4738
Te  0.3255  0.1887  0.5168
Ta  0.0164  0.8664  0.7125
Ta  0.9902  0.1540  0.2951
Ta  0.5076  0.8102  0.1257
Te  0.7205  0.6458  0.9389
Te  0.8212  0.3367  0.1595

Relative energy among the computed polymorphs, meV/atom: 0
Raw formation energy, meV per atom: 227
Space-group type: P1

=====

Entry 2:
Density functional theory data (PBE) for crystalline PAuIO2 at its relaxed geometry.

a b c (Å): 3.9144 3.9144 5.7294
angles (deg): 90.00 90.00 90.00
Element x y z (fractional)
Au  0.5000  0.5000  0.5000
O  0.5000  0.0000  0.0000
O  0.0000  0.5000  0.0000
P  0.0000  0.0000  0.5000
I  0.0000  0.0000  0.0000

Relative energy among the computed polymorphs, meV/atom: 420
Raw formation energy, meV per atom: 314
Space-group type: P4/mmm

=====

Entry 3:
Density functional theory data (PBE) for crystalline MoP2Br at its relaxed geometry.

a b c (Å): 5.9454 5.9454 5.9454
angles (deg): 150.75 130.91 58.18
Element x y z (fractional)
Br  0.7500  0.2500  0.5000
P  0.4364  0.4364  0.0000
Mo  0.2500  0.7500  0.5000
P  0.0636  0.0636  0.0000

Relative energy among the computed polymorphs, meV/atom: 622
Raw formation energy, meV per atom: 507
Space-group type: Immm

=====

Entry 4:
Density functional theory data (PBE) for crystalline PmGaCu2 at its relaxed geometry.

a b c (Å): 5.4817 6.5268 8.1304
angles (deg): 90.00 90.00 90.00
Element x y z (fractional)
Cu  0.3850  0.5577  0.3205
Cu  0.1150  0.9423  0.8205
Pm  0.1528  0.2500  0.5570
Ga  0.6494  0.2500  0.3912
Ga  0.3506  0.7500  0.6088
Ga  0.8506  0.2500  0.8912
Ga  0.1494  0.7500  0.1088
Cu  0.6150  0.0577  0.6795
Pm  0.8472  0.7500  0.4430
Cu  0.8850  0.0577  0.1795
Cu  0.1150  0.5577  0.8205
Pm  0.3472  0.2500  0.0570
Pm  0.6528  0.7500  0.9430
Cu  0.8850  0.4423  0.1795
Cu  0.6150  0.4423  0.6795
Cu  0.3850  0.9423  0.3205

ΔH_f (0 K), eV/atom: -0.33
Space-group type: Pnma

=====

Entry 5:
Density functional theory data (PBE) for crystalline Pr4Dy4Tm3 at its relaxed geometry.

a b c (Å): 3.5351 5.6873 18.1408
angles (deg): 80.98 84.41 90.00
Element x y z (fractional)
Dy  0.6805  0.1803  0.6395
Tm  0.1355  0.6355  0.7297
Pr  0.4095  0.9095  0.1805
Dy  0.5456  0.5455  0.9095
Dy  0.3195  0.8197  0.3605
Pr  0.2690  0.2688  0.4622
Tm  0.0000  0.0000  0.0000
Dy  0.4544  0.4545  0.0905
Pr  0.5905  0.0905  0.8195
Tm  0.8645  0.3646  0.2703
Pr  0.7310  0.7312  0.5378

ΔH_f (0 K), eV/atom: 0.07
Relative energy among the computed polymorphs, meV/atom: 0
Space-group type: P-1

=====

Entry 6:
Density functional theory data (PBE) for crystalline Al3Ni2Pt at its relaxed geometry.

a b c (Å): 4.1899 4.1899 10.3128
angles (deg): 90.00 90.00 120.00
Element x y z (fractional)
Al  0.3333  0.6667  0.9241
Al  0.0000  0.0000  0.7600
Al  0.0000  0.0000  0.2400
Ni  0.6667  0.3333  0.8370
Ni  0.0000  0.0000  0.5000
Ni  0.0000  0.0000  0.0000
Ni  0.3333  0.6667  0.1630
Pt  0.3333  0.6667  0.6693
Al  0.3333  0.6667  0.4171
Pt  0.6667  0.3333  0.3307
Al  0.6667  0.3333  0.0759
Al  0.6667  0.3333  0.5829

ΔH_f (0 K), eV/atom: -0.76
Space-group type: P-3m1